A plane-wave DFT calculation with PBE-GGA was carried out for a relaxed structure of Ba2CdSb4Au3.

Unit cell a=4.9795 b=4.9795 c=11.4092 alpha=90.00 beta=90.00 gamma=90.00
With the nearest neighbours (Å) after each atom.
Positions (direct):
Ba: 0.0000 0.5000 0.2503  8 Sb 3.76-3.79, 2 Cd 3.78, 6 Au 3.78-3.80
Ba: 0.5000 0.0000 0.7497  8 Sb 3.76-3.79, 2 Cd 3.78, 6 Au 3.78-3.80
Cd: 0.0000 0.0000 0.5000  4 Sb 2.93
Sb: 0.0000 0.0000 0.0000  4 Au 2.87
Sb: 0.0000 0.5000 0.6346  3 Au 2.74-2.93, 2 Cd 2.93
Sb: 0.5000 0.0000 0.3654  3 Au 2.74-2.93, 2 Cd 2.93
Sb: 0.5000 0.5000 0.0000  4 Au 2.87
Au: 0.0000 0.5000 0.8745  5 Sb 2.74-2.87
Au: 0.5000 0.0000 0.1255  5 Sb 2.74-2.87
Au: 0.5000 0.5000 0.5000  4 Sb 2.93

Calculated values
The energy is -36.888 eV for the cell shown. The value obtained for the total magnetization is 0.0000 μB per atom. As for the symmetry: P-4m2 (115). As for the uncorrected formation energy: -0.581 eV per atom. As for the density of states at the Fermi level: 4.02 states/eV per cell.